Be2AgPb: relaxed, GGA-PBE.

Summary:
Its total magnetic moment is 0.0 Bohr magnetons per cell. The calculation puts the volume at 17.277 Å³/atom. The calculation puts the theoretical density at 8.0 Mg/m³. The calculation puts the calculated formation energy at 0.680 eV per atom.

abc: 8.3847 8.3847 8.3847
angles: 21.46 21.46 21.46
Element x y z (fractional)
Be: 0.9863 0.9863 0.9863
Be: 0.5137 0.5137 0.5137
Ag: 0.2500 0.2500 0.2500
Pb: 0.7500 0.7500 0.7500

---

BeAgPb2: relaxed, GGA-PBE.

Summary:
Its total magnetic moment is 0.0 Bohr magnetons per cell. The calculation puts the volume at 22.776 Å³/atom. The calculation puts the theoretical density at 9.7 Mg/m³. The calculation puts the calculated formation energy at 0.447 eV per atom.

abc: 3.3838 3.3838 8.1741
angles: 90.00 90.00 103.24
Element x y z (fractional)
Pb: 0.0000 0.0000 0.9693
Pb: 0.0000 0.0000 0.5307
Be: 0.5000 0.5000 0.7500
Ag: 0.5000 0.5000 0.2500

---

BeAgPb2: relaxed, GGA-PBE.

Summary:
Its total magnetic moment is 0.0 Bohr magnetons per cell. The calculation puts the volume at 22.994 Å³/atom. The calculation puts the theoretical density at 9.6 Mg/m³. The calculation puts the calculated formation energy at 0.374 eV per atom.

abc: 6.3526 6.3526 6.3526
angles: 150.36 133.10 56.47
Element x y z (fractional)
Ag: 0.4334 0.4334 0.0000
Pb: 0.7504 0.2504 0.5000
Pb: 0.0465 0.0465 0.0000
Be: 0.2697 0.7697 0.5000

---

BeAgPb2: relaxed, GGA-PBE.

Summary:
Its total magnetic moment is 0.0 Bohr magnetons per cell. The calculation puts the volume at 23.381 Å³/atom. The calculation puts the theoretical density at 9.4 Mg/m³. The calculation puts the calculated formation energy at 0.440 eV per atom.

abc: 4.3232 4.3232 6.7641
angles: 76.61 76.61 49.92
Element x y z (fractional)
Pb: 0.5106 0.5106 0.4620
Pb: 0.9894 0.9894 0.0380
Ag: 0.7500 0.7500 0.7500
Be: 0.2500 0.2500 0.2500

---

BeAg2Pb2: relaxed, GGA-PBE.

Summary:
Its total magnetic moment is 0.0 Bohr magnetons per cell. The calculation puts the volume at 22.410 Å³/atom. The calculation puts the theoretical density at 9.5 Mg/m³. The calculation puts the calculated formation energy at 0.326 eV per atom.

abc: 6.5195 6.5195 5.2723
angles: 90.00 90.00 90.00
Element x y z (fractional)
Ag: 0.6593 0.1593 0.0000
Ag: 0.1593 0.3407 0.0000
Ag: 0.3407 0.8407 0.0000
Ag: 0.8407 0.6593 0.0000
Pb: 0.3218 0.1782 0.5000
Pb: 0.8218 0.3218 0.5000
Pb: 0.6782 0.8218 0.5000
Pb: 0.1782 0.6782 0.5000
Be: 0.0000 0.0000 0.0000
Be: 0.5000 0.5000 0.0000

---

BeAg3Pb: relaxed, GGA-PBE.

Summary:
Its total magnetic moment is 0.0 Bohr magnetons per cell. The calculation puts the volume at 30.888 Å³/atom. The calculation puts the theoretical density at 5.8 Mg/m³. The calculation puts the calculated formation energy at 1.192 eV per atom.

abc: 5.3652 5.3652 5.3652
angles: 90.00 90.00 90.00
Element x y z (fractional)
Ag: 0.0000 0.0000 0.5000
Ag: 0.0000 0.5000 0.0000
Ag: 0.5000 0.0000 0.0000
Pb: 0.0000 0.0000 0.0000
Be: 0.5000 0.5000 0.5000

---

Be2AgPb: relaxed, GGA-PBE.

Summary:
Its total magnetic moment is 0.0 Bohr magnetons per cell. The calculation puts the volume at 16.483 Å³/atom. The calculation puts the theoretical density at 8.4 Mg/m³. The calculation puts the calculated formation energy at 0.659 eV per atom.

abc: 4.2158 4.2158 3.7321
angles: 90.00 90.00 96.28
Element x y z (fractional)
Be: 0.0000 0.0000 0.0000
Be: 0.5000 0.5000 0.0000
Ag: 0.0000 0.5000 0.5000
Pb: 0.5000 0.0000 0.5000

---

BeAgPb2: relaxed, GGA-PBE.

Summary:
Its total magnetic moment is 0.0 Bohr magnetons per cell. The calculation puts the volume at 23.149 Å³/atom. The calculation puts the theoretical density at 9.5 Mg/m³. The calculation puts the calculated formation energy at 0.511 eV per atom.

abc: 6.0203 6.0203 6.0203
angles: 139.11 139.11 59.21
Element x y z (fractional)
Pb: 0.0000 0.0000 0.0000
Pb: 0.2500 0.7500 0.5000
Ag: 0.5000 0.5000 0.0000
Be: 0.7500 0.2500 0.5000

---

Be2AgPb: relaxed, GGA-PBE.

Summary:
Its total magnetic moment is 0.0 Bohr magnetons per cell. The calculation puts the volume at 17.158 Å³/atom. The calculation puts the theoretical density at 8.1 Mg/m³. The calculation puts the calculated formation energy at 0.454 eV per atom.

abc: 3.7797 3.2770 5.8181
angles: 72.25 90.00 90.00
Element x y z (fractional)
Be: 0.0000 0.2062 0.9737
Be: 0.5000 0.0837 0.2028
Ag: 0.5000 0.7559 0.8826
Pb: 0.0000 0.4542 0.4409

---

Be2AgPb: relaxed, GGA-PBE.

Summary:
Its total magnetic moment is 0.0 Bohr magnetons per cell. The calculation puts the volume at 16.960 Å³/atom. The calculation puts the theoretical density at 8.2 Mg/m³. The calculation puts the calculated formation energy at 0.440 eV per atom.

abc: 3.0720 2.9526 7.4792
angles: 90.00 90.00 90.00
Element x y z (fractional)
Be: 0.0000 0.0000 0.0352
Be: 0.5000 0.5000 0.1620
Pb: 0.0000 0.0000 0.4667
Ag: 0.5000 0.5000 0.8361

---

BeAgPb2: relaxed, GGA-PBE.

Summary:
Its total magnetic moment is 0.0 Bohr magnetons per cell. The calculation puts the volume at 22.878 Å³/atom. The calculation puts the theoretical density at 9.6 Mg/m³. The calculation puts the calculated formation energy at 0.491 eV per atom.

abc: 5.1627 5.1624 3.4335
angles: 90.00 90.00 90.00
Element x y z (fractional)
Ag: 0.5000 0.0000 0.5000
Pb: 0.5000 0.5000 0.0000
Pb: 0.0000 0.0000 0.0000
Be: 0.0000 0.5000 0.5000

---

BeAgPb4: relaxed, GGA-PBE.

Summary:
Its total magnetic moment is 0.0 Bohr magnetons per cell. The calculation puts the volume at 30.659 Å³/atom. The calculation puts the theoretical density at 8.5 Mg/m³. The calculation puts the calculated formation energy at 0.734 eV per atom.

abc: 6.3837 6.3837 6.3837
angles: 60.00 60.00 60.00
Element x y z (fractional)
Pb: 0.8753 0.3749 0.3749
Pb: 0.3749 0.8753 0.3749
Pb: 0.3749 0.3749 0.8753
Pb: 0.3749 0.3749 0.3749
Ag: 0.7500 0.7500 0.7500
Be: 0.0000 0.0000 0.0000